Below is a PBEsol-optimized structure of MgNb2H2, with properties calculated at the SCAN level.

abc: 3.6372 3.6372 9.2154
angles: 90.00 90.00 90.00
Last column: nearest neighbours and their distance in Å.
Positions (direct):
Mg 0.0000 0.0000 0.0000  8 H 2.94, 10 Nb 3.02-3.03
Mg 0.5000 0.5000 0.5000  8 H 2.94, 10 Nb 3.02-3.03
Nb 0.0000 0.0000 0.3285  4 H 1.96
Nb 0.0000 0.0000 0.6715  4 H 1.96
Nb 0.5000 0.5000 0.1715  4 H 1.96
Nb 0.5000 0.5000 0.8285  4 H 1.96
H 0.0000 0.5000 0.2500  4 Nb 1.96
H 0.0000 0.5000 0.7500  4 Nb 1.96
H 0.5000 0.0000 0.2500  4 Nb 1.96
H 0.5000 0.0000 0.7500  4 Nb 1.96

Output
- DFT total energy: -15.744 eV/atom
- SG: I4/mmm

Below is a PBEsol-optimized structure of ZnInCl, with properties calculated at the SCAN level.

abc: 6.7981 6.7981 6.7981
angles: 90.00 90.00 90.00
Last column: nearest neighbours and their distance in Å.
Positions (direct):
Zn 0.0000 0.0000 0.0000  4 In 2.94, 4 Cl 2.94
Zn 0.0000 0.5000 0.5000  4 In 2.94, 4 Cl 2.94
Zn 0.5000 0.0000 0.5000  4 In 2.94, 4 Cl 2.94
Zn 0.5000 0.5000 0.0000  4 In 2.94, 4 Cl 2.94
In 0.2500 0.2500 0.7500  4 Zn 2.94
In 0.2500 0.7500 0.2500  4 Zn 2.94
In 0.7500 0.2500 0.2500  4 Zn 2.94
In 0.7500 0.7500 0.7500  4 Zn 2.94
Cl 0.2500 0.2500 0.2500  4 Zn 2.94
Cl 0.2500 0.7500 0.7500  4 Zn 2.94
Cl 0.7500 0.2500 0.7500  4 Zn 2.94
Cl 0.7500 0.7500 0.2500  4 Zn 2.94

Output
- Offset from the most stable computed form: 0.0000 eV/atom
- SG: F-43m
- Energy relative to the elements, uncorrected: -0.4 eV/f.u.

- Number 2 is which compound?
  ZnInCl